# RbSnHg2F8

RbSnHg2F8 after structural relaxation (PBE, Alexandria via LeMat-Bulk).

```
12
Lattice="-1.5061 -3.9062 -2.8847 4.5456 0.8615 -3.1197 4.0395 -4.9005 4.5208" Properties=species:S:1:pos:R:3 pbc="T T T"
Rb 2.0197 -2.4502 2.2604
F 4.5855 -3.8779 -1.5722
F 0.6064 -1.0386 -1.6642
F 6.4726 -6.9066 0.1806
F 0.4045 -4.0430 -2.2519
F 2.9495 -7.1310 0.5934
F 4.1295 -0.8142 -2.0770
F 6.6746 -3.9022 0.7683
F 2.4935 -4.0673 0.0886
Hg 4.5325 -5.1771 0.3704
Hg 2.5466 -2.7681 -1.8540
Sn 0.0000 0.0000 0.0000
```

The crystal system is triclinic. As for the uncorrected formation energy: -2.00 eV/atom.